An optimized crystal structure of P2PtPbS8, computed with PBE.

Unit cell a=5.8284 b=5.8284 c=8.5880 alpha=90.00 beta=90.00 gamma=120.00
Space group P-3 (No. 147)
Inequivalent atoms, fractional coordinates:
P 0.3333 0.6667 0.2376
Pt 0.0000 0.0000 0.0000
Pb 0.0000 0.0000 0.5000
S 0.0122 0.6857 0.8228
S 0.3333 0.6667 0.4712

## Properties
raw formation energy	-0.187	eV/atom